(P)
A plane-wave DFT calculation with PBEsol was carried out for an optimized crystal structure of KPb.

Properties
Calculated volume: 37.824 Å³ per atom

Cell: 12.339 12.339 12.339 Å, 125.11 125.11 81.35°
Fractional coordinates of all 32 atoms:
K 0.003 0.253 0.505
K 0.119 0.750 0.869
K 0.247 0.497 0.995
K 0.250 0.119 0.869
K 0.250 0.619 0.369
K 0.253 0.247 0.250
K 0.381 0.250 0.631
K 0.497 0.003 0.250
K 0.503 0.997 0.750
K 0.619 0.750 0.369
K 0.747 0.753 0.750
K 0.750 0.381 0.631
K 0.750 0.881 0.131
K 0.753 0.503 0.005
K 0.881 0.250 0.131
K 0.997 0.747 0.495
Pb 0.003 0.695 0.067
Pb 0.064 0.997 0.191
Pb 0.128 0.936 0.433
Pb 0.195 0.503 0.567
Pb 0.305 0.872 0.309
Pb 0.372 0.805 0.809
Pb 0.436 0.628 0.933
Pb 0.497 0.564 0.691
Pb 0.503 0.436 0.309
Pb 0.564 0.372 0.067
Pb 0.628 0.195 0.191
Pb 0.695 0.128 0.691
Pb 0.805 0.497 0.433
Pb 0.872 0.064 0.567
Pb 0.936 0.003 0.809
Pb 0.997 0.305 0.933

***

(Q)
A plane-wave DFT calculation with PBEsol was carried out for an optimized crystal structure of KPb.

Properties
Calculated volume: 33.014 Å³ per atom
N(E_F): 1.66 states/eV/cell

Cell: 3.401 3.401 5.708 Å, 90.00 90.00 90.00°
Fractional coordinates of all 2 atoms:
K 0.000 0.000 0.000
Pb 0.500 0.500 0.500

***

Stability check: which of them is most stable? (P).

***

(P)
A plane-wave DFT calculation with PBEsol was carried out for an optimized crystal structure of ScAlCl2.

Properties
Calculated volume: 20.590 Å³ per atom
N(E_F): 4.04 states/eV/cell

Cell: 4.884 4.884 4.884 Å, 60.00 60.00 60.00°
Fractional coordinates of all 4 atoms:
Sc 0.000 0.000 0.000
Al 0.750 0.750 0.750
Cl 0.250 0.250 0.250
Cl 0.500 0.500 0.500

***

(Q)
A plane-wave DFT calculation with PBEsol was carried out for an optimized crystal structure of ScAlCl2.

Properties
Calculated volume: 23.196 Å³ per atom
N(E_F): 1.75 states/eV/cell

Cell: 9.475 9.475 9.475 Å, 20.67 20.67 20.67°
Fractional coordinates of all 4 atoms:
Sc 0.000 0.000 0.000
Al 0.500 0.500 0.500
Cl 0.085 0.085 0.085
Cl 0.915 0.915 0.915

***

Stability check: which of them is most stable? (Q).

***

(P)
A plane-wave DFT calculation with PBEsol was carried out for an optimized crystal structure of Ru2Se.

Properties
Calculated volume: 14.294 Å³ per atom
N(E_F): 5.01 states/eV/cell

Cell: 5.365 5.365 6.086 Å, 109.23 109.23 31.40°
Fractional coordinates of all 6 atoms:
Ru 0.061 0.061 0.330
Ru 0.372 0.372 0.997
Ru 0.628 0.628 0.003
Ru 0.939 0.939 0.670
Se 0.305 0.305 0.333
Se 0.695 0.695 0.667

***

(Q)
A plane-wave DFT calculation with PBEsol was carried out for an optimized crystal structure of Ru2Se.

Properties
Calculated volume: 15.185 Å³ per atom
N(E_F): 3.09 states/eV/cell

Cell: 4.009 4.009 4.009 Å, 60.00 60.00 60.00°
Fractional coordinates of all 3 atoms:
Ru 0.250 0.250 0.250
Ru 0.750 0.750 0.750
Se 0.000 0.000 0.000

***

Stability check: which of them is most stable? (P).

***

(P)
A plane-wave DFT calculation with PBEsol was carried out for an optimized crystal structure of FeOsW2.

Properties
Calculated volume: 14.023 Å³ per atom
N(E_F): 3.44 states/eV/cell

Cell: 2.688 2.688 7.764 Å, 90.00 90.00 90.00°
Fractional coordinates of all 4 atoms:
Fe 0.000 0.000 0.000
Os 0.500 0.500 0.786
W 0.000 0.000 0.524
W 0.500 0.500 0.239

***

(Q)
A plane-wave DFT calculation with PBEsol was carried out for an optimized crystal structure of FeOsW2.

Properties
Calculated volume: 14.012 Å³ per atom
N(E_F): 3.49 states/eV/cell

Cell: 3.852 3.852 3.777 Å, 90.00 90.00 90.00°
Fractional coordinates of all 4 atoms:
Fe 0.000 0.000 0.000
Os 0.500 0.500 0.000
W 0.000 0.500 0.500
W 0.500 0.000 0.500

***

Stability check: which of them is most stable? (Q).

***

(P)
A plane-wave DFT calculation with PBEsol was carried out for an optimized crystal structure of Mg2MoRh.

Properties
Calculated volume: 15.936 Å³ per atom
N(E_F): 3.67 states/eV/cell

Cell: 5.428 5.428 5.428 Å, 149.12 128.39 61.37°
Fractional coordinates of all 4 atoms:
Mg 0.233 0.233 0.000
Mg 0.767 0.767 0.000
Mo 0.500 0.000 0.500
Rh 0.000 0.500 0.500

***

(Q)
A plane-wave DFT calculation with PBEsol was carried out for an optimized crystal structure of Mg2MoRh.

Properties
Calculated volume: 16.832 Å³ per atom
N(E_F): 2.73 states/eV/cell

Cell: 2.913 2.913 7.936 Å, 90.00 90.00 90.00°
Fractional coordinates of all 4 atoms:
Mg 0.000 0.000 0.000
Mg 0.500 0.500 0.316
Mo 0.000 0.000 0.573
Rh 0.500 0.500 0.778

***

Stability check: which of them is most stable? (Q).

***

(P)
A plane-wave DFT calculation with PBEsol was carried out for an optimized crystal structure of TaTl2W.

Properties
Calculated volume: 21.219 Å³ per atom
N(E_F): 2.50 states/eV/cell

Cell: 3.010 3.010 10.208 Å, 90.00 90.00 113.43°
Fractional coordinates of all 4 atoms:
Ta 0.000 0.000 0.000
Tl 0.000 0.000 0.558
Tl 0.500 0.500 0.258
W 0.500 0.500 0.808

***

(Q)
A plane-wave DFT calculation with PBEsol was carried out for an optimized crystal structure of TaTl2W.

Properties
Calculated volume: 19.306 Å³ per atom
N(E_F): 1.81 states/eV/cell

Cell: 3.251 4.802 4.947 Å, 90.00 90.00 90.00°
Fractional coordinates of all 4 atoms:
Ta 0.000 0.000 0.000
Tl 0.000 0.500 0.500
Tl 0.500 0.500 0.000
W 0.500 0.000 0.500

***

(R)
A plane-wave DFT calculation with PBEsol was carried out for an optimized crystal structure of TaTl2W.

Properties
Calculated volume: 19.227 Å³ per atom
N(E_F): 4.08 states/eV/cell

Cell: 2.924 2.924 8.995 Å, 90.00 90.00 90.00°
Fractional coordinates of all 4 atoms:
Ta 0.000 0.000 0.000
Tl 0.500 0.500 0.254
Tl 0.500 0.500 0.746
W 0.000 0.000 0.500

***

Stability check: which of them is most stable? (P).

***

(P)
A plane-wave DFT calculation with PBEsol was carried out for an optimized crystal structure of KPb5.

Properties
Calculated volume: 30.895 Å³ per atom
N(E_F): 2.79 states/eV/cell

Cell: 7.016 7.016 7.959 Å, 105.71 105.71 29.53°
Fractional coordinates of all 6 atoms:
K 0.000 0.000 0.000
Pb 0.046 0.046 0.578
Pb 0.326 0.326 0.646
Pb 0.366 0.366 0.262
Pb 0.673 0.673 0.342
Pb 0.718 0.718 0.916

***

(Q)
A plane-wave DFT calculation with PBEsol was carried out for an optimized crystal structure of KPb5.

Properties
Calculated volume: 32.318 Å³ per atom
N(E_F): 3.33 states/eV/cell

Cell: 6.497 6.497 6.497 Å, 60.00 60.00 60.00°
Fractional coordinates of all 6 atoms:
K 0.000 0.000 0.000
Pb 0.125 0.625 0.625
Pb 0.250 0.250 0.250
Pb 0.625 0.125 0.625
Pb 0.625 0.625 0.125
Pb 0.625 0.625 0.625

***

Stability check: which of them is most stable? (P).

***

(P)
A plane-wave DFT calculation with PBEsol was carried out for an optimized crystal structure of Ag2Pt.

Properties
Calculated volume: 15.850 Å³ per atom
N(E_F): 5.02 states/eV/cell

Cell: 5.625 5.625 8.470 Å, 119.67 119.67 59.82°
Fractional coordinates of all 12 atoms:
Ag 0.000 0.000 0.000
Ag 0.168 0.168 0.665
Ag 0.170 0.670 0.667
Ag 0.332 0.332 0.330
Ag 0.503 0.999 0.996
Ag 0.505 0.505 0.005
Ag 0.670 0.170 0.667
Ag 0.999 0.503 0.996
Pt 0.336 0.834 0.336
Pt 0.667 0.667 0.661
Pt 0.834 0.336 0.336
Pt 0.834 0.834 0.330

***

(Q)
A plane-wave DFT calculation with PBEsol was carried out for an optimized crystal structure of Ag2Pt.

Properties
Calculated volume: 15.868 Å³ per atom
N(E_F): 4.38 states/eV/cell

Cell: 5.632 5.661 7.396 Å, 68.29 79.44 60.34°
Fractional coordinates of all 12 atoms:
Ag 0.000 0.000 0.000
Ag 0.162 0.338 0.665
Ag 0.162 0.837 0.667
Ag 0.336 0.164 0.331
Ag 0.500 0.000 0.000
Ag 0.664 0.836 0.669
Ag 0.838 0.163 0.333
Ag 0.838 0.662 0.335
Pt 0.000 0.500 0.000
Pt 0.344 0.656 0.333
Pt 0.500 0.500 0.000
Pt 0.656 0.344 0.667

***

Stability check: which of them is most stable? (P).

***

(P)
A plane-wave DFT calculation with PBEsol was carried out for an optimized crystal structure of TaCoPt2.

Properties
Calculated volume: 14.152 Å³ per atom
N(E_F): 0.76 states/eV/cell

Cell: 3.806 3.806 3.907 Å, 90.00 90.00 90.00°
Fractional coordinates of all 4 atoms:
Ta 0.000 0.000 0.000
Co 0.500 0.500 0.000
Pt 0.000 0.500 0.500
Pt 0.500 0.000 0.500

***

(Q)
A plane-wave DFT calculation with PBEsol was carried out for an optimized crystal structure of TaCoPt2.

Properties
Calculated volume: 14.216 Å³ per atom
N(E_F): 3.94 states/eV/cell

Cell: 4.715 4.715 4.715 Å, 131.92 131.92 70.35°
Fractional coordinates of all 4 atoms:
Ta 0.000 0.000 0.000
Co 0.750 0.250 0.500
Pt 0.250 0.750 0.500
Pt 0.500 0.500 0.000

***

Stability check: which of them is most stable? (P).

***

(P)
A plane-wave DFT calculation with PBEsol was carried out for an optimized crystal structure of LaFe2W.

Properties
Calculated volume: 15.428 Å³ per atom
N(E_F): 2.62 states/eV/cell

Cell: 4.436 4.436 4.436 Å, 60.00 60.00 60.00°
Fractional coordinates of all 4 atoms:
La 0.000 0.000 0.000
Fe 0.500 0.500 0.500
Fe 0.750 0.750 0.750
W 0.250 0.250 0.250

***

(Q)
A plane-wave DFT calculation with PBEsol was carried out for an optimized crystal structure of LaFe2W.

Properties
Calculated volume: 15.814 Å³ per atom
N(E_F): 5.78 states/eV/cell

Cell: 4.626 4.626 2.956 Å, 90.00 90.00 90.00°
Fractional coordinates of all 4 atoms:
La 0.000 0.000 0.000
Fe 0.000 0.500 0.500
Fe 0.500 0.000 0.500
W 0.500 0.500 0.000

***

Stability check: which of them is most stable? (Q).

***

(P)
A plane-wave DFT calculation with PBEsol was carried out for an optimized crystal structure of InW.

Properties
Calculated volume: 18.457 Å³ per atom
N(E_F): 1.88 states/eV/cell

Cell: 3.298 3.298 6.786 Å, 90.00 90.00 90.00°
Fractional coordinates of all 4 atoms:
In 0.250 0.250 0.150
In 0.750 0.750 0.850
W 0.250 0.250 0.598
W 0.750 0.750 0.402

***

(Q)
A plane-wave DFT calculation with PBEsol was carried out for an optimized crystal structure of InW.

Properties
Calculated volume: 18.206 Å³ per atom
N(E_F): 2.80 states/eV/cell

Cell: 5.427 5.427 5.427 Å, 143.70 128.80 64.37°
Fractional coordinates of all 4 atoms:
In 0.365 0.115 0.250
In 0.635 0.885 0.750
W 0.104 0.354 0.750
W 0.896 0.646 0.250

***

Stability check: which of them is most stable? (P).

***

(P)
A plane-wave DFT calculation with PBEsol was carried out for an optimized crystal structure of ZrBeCl2.

Properties
Calculated volume: 16.324 Å³ per atom
N(E_F): 1.40 states/eV/cell

Cell: 5.648 5.648 5.648 Å, 142.84 142.84 53.56°
Fractional coordinates of all 4 atoms:
Zr 0.000 0.000 0.000
Be 0.750 0.250 0.500
Cl 0.250 0.750 0.500
Cl 0.500 0.500 0.000

***

(Q)
A plane-wave DFT calculation with PBEsol was carried out for an optimized crystal structure of ZrBeCl2.

Properties
Calculated volume: 19.859 Å³ per atom
N(E_F): 0.31 states/eV/cell

Cell: 3.215 3.215 8.758 Å, 90.00 90.00 118.63°
Fractional coordinates of all 4 atoms:
Zr 0.000 0.000 0.000
Be 0.500 0.500 0.762
Cl 0.000 0.000 0.621
Cl 0.500 0.500 0.223

***

Stability check: which of them is most stable? (Q).

***

(P)
A plane-wave DFT calculation with PBEsol was carried out for an optimized crystal structure of BaSr2Ca.

Properties
Calculated volume: 50.973 Å³ per atom
N(E_F): 4.99 states/eV/cell

Cell: 7.135 7.135 7.135 Å, 130.74 130.74 72.23°
Fractional coordinates of all 4 atoms:
Ba 0.000 0.000 0.000
Sr 0.250 0.750 0.500
Sr 0.500 0.500 0.000
Ca 0.750 0.250 0.500

***

(Q)
A plane-wave DFT calculation with PBEsol was carried out for an optimized crystal structure of BaSr2Ca.

Properties
Calculated volume: 50.261 Å³ per atom
N(E_F): 5.39 states/eV/cell

Cell: 4.717 4.717 9.036 Å, 90.00 90.00 90.00°
Fractional coordinates of all 4 atoms:
Ba 0.000 0.000 0.000
Sr 0.000 0.000 0.478
Sr 0.500 0.500 0.732
Ca 0.500 0.500 0.246

***

Stability check: which of them is most stable? (Q).